(1)
Below is NdLu2Ag after structural relaxation, with properties calculated at the PBE level.

Output
* offset from the most stable computed form: 126 meV/atom
* SG: No. 166
* total magnetic moment: 0.00 μB per formula unit
* ΔH_f (0 K): -0.013 eV/atom
* electronic total energy: -4.18 eV per atom

Lattice parameters (Å, degrees): 10.511 10.511 10.511 19.50 19.50 19.50
Element x y z (fractional)
Nd  0.000  0.000  0.000
Lu  0.239  0.239  0.239
Lu  0.761  0.761  0.761
Ag  0.500  0.500  0.500

=====

(2)
Below is NdLuAg2 after structural relaxation, with properties calculated at the PBE level.

Output
* offset from the most stable computed form: 0 meV/atom
* SG: No. 123
* total magnetic moment: 0.00 μB per formula unit
* ΔH_f (0 K): -0.305 eV/atom
* electronic total energy: -4.05 eV per atom

Lattice parameters (Å, degrees): 3.597 3.597 7.540 90.00 90.00 90.00
Element x y z (fractional)
Nd  0.000  0.000  0.000
Lu  0.000  0.000  0.500
Ag  0.500  0.500  0.277
Ag  0.500  0.500  0.723

=====

(3)
Below is NdLu2Ag after structural relaxation, with properties calculated at the PBE level.

Output
* offset from the most stable computed form: 0 meV/atom
* SG: No. 123
* total magnetic moment: 0.00 μB per formula unit
* ΔH_f (0 K): -0.138 eV/atom
* electronic total energy: -4.30 eV per atom

Lattice parameters (Å, degrees): 3.544 3.544 8.785 90.00 90.00 90.00
Element x y z (fractional)
Nd  0.000  0.000  0.000
Lu  0.500  0.500  0.293
Lu  0.500  0.500  0.707
Ag  0.000  0.000  0.500